A plane-wave DFT calculation with GGA-PBE was carried out for an optimized crystal structure of Al3PtCl.

Computed properties:
* polymorph energy (0 for the lowest one): 1.293 eV per atom
* E_form (uncorrected): 0.687 eV per atom
* DOS(E_F): 0.222 states/eV/atom
* total energy: -3.1358 eV/atom

a b c (Å): 4.6271 4.6271 4.6271
angles (deg): 90.00 90.00 90.00
Last column: nearest neighbours and their distance in Å.
Sites, in units of the cell vectors:
Al 0.0000 0.0000 0.5000  2 Cl 2.31
Al 0.0000 0.5000 0.0000  2 Cl 2.31
Al 0.5000 0.0000 0.0000  2 Cl 2.31
Pt 0.5000 0.5000 0.5000  12 Al 3.27
Cl 0.0000 0.0000 0.0000  6 Al 2.31